# 1
Entry from Alexandria via LeMat-Bulk: a geometry-optimized Pm3Tm3In2 structure (PBE-GGA).

Computed properties:
ΔE to the lowest computed polymorph in meV/atom: 99
Formation enthalpy at 0 K in kcal/mol of atoms: -3.743
DOS at the Fermi energy in states/eV/f.u.: 9.471

Structure (CIF):
```
data_Pm3Tm3In2
_space_group_name_H-M_alt 'C m c m'
_space_group_IT_number 63
_space_group_name_Hall '-C 2c 2'
_cell_length_a 5.094
_cell_length_b 11.774
_cell_length_c 16.474
_cell_angle_alpha 90.00
_cell_angle_beta 90.00
_cell_angle_gamma 90.00
loop_
_atom_site_label
_atom_site_type_symbol
_atom_site_fract_x
_atom_site_fract_y
_atom_site_fract_z
Pm1 Pm 0.000 0.044 0.104
Pm2 Pm 0.000 0.269 0.250
Tm1 Tm 0.000 0.361 0.040
Tm2 Tm 0.000 0.452 0.750
In1 In 0.000 0.239 0.630
```



# 2
Entry from Alexandria via LeMat-Bulk: a geometry-optimized Ba5ZnI5 structure (PBE-GGA).

Computed properties:
Raw formation energy in eV per atom: -1.2257
DOS at the Fermi energy in states/eV/f.u.: 9.241

Structure (CIF):
```
data_Ba5ZnI5
_space_group_name_H-M_alt 'C 1 2/m 1'
_space_group_IT_number 12
_cell_length_a 16.067
_cell_length_b 7.042
_cell_length_c 10.098
_cell_angle_alpha 90.00
_cell_angle_beta 109.04
_cell_angle_gamma 90.00
loop_
_space_group_symop_operation_xyz
'x,y,z'
'-x,-y,-z'
'-x,y,-z'
'x,-y,z'
'x+1/2,y+1/2,z'
'-x+1/2,-y+1/2,-z'
'-x+1/2,y+1/2,-z'
'x+1/2,-y+1/2,z'
loop_
_atom_site_label
_atom_site_type_symbol
_atom_site_fract_x
_atom_site_fract_y
_atom_site_fract_z
Ba1 Ba 0.000 0.000 0.000
Ba2 Ba 0.150 0.500 0.844
Ba3 Ba 0.153 0.500 0.313
Zn1 Zn 0.000 0.500 0.000
I1 I 0.000 0.500 0.500
I2 I 0.170 0.000 0.831
I3 I 0.187 0.000 0.337
```



# 3
Entry from Alexandria via LeMat-Bulk: a geometry-optimized LiBSN2 structure (PBE-GGA).

Computed properties:
Raw formation energy in eV per atom: 2.2308
ΔE to the lowest computed polymorph in meV/atom: 1495
DOS at the Fermi energy in states/eV/f.u.: 2.167

Structure (CIF):
```
data_LiBSN2
_space_group_name_H-M_alt 'P 4/m m m'
_space_group_IT_number 123
_space_group_name_Hall '-P 4 2'
_cell_length_a 3.224
_cell_length_b 3.224
_cell_length_c 7.025
_cell_angle_alpha 90.00
_cell_angle_beta 90.00
_cell_angle_gamma 90.00
loop_
_atom_site_label
_atom_site_type_symbol
_atom_site_fract_x
_atom_site_fract_y
_atom_site_fract_z
Li1 Li 0.000 0.000 0.000
B1 B 0.500 0.500 0.500
S1 S 0.000 0.000 0.500
N1 N 0.000 0.500 0.000
```



# 4
Entry from Alexandria via LeMat-Bulk: a geometry-optimized BeCr2Cu structure (PBE-GGA).

Computed properties:
Formation enthalpy at 0 K in kcal/mol of atoms: 4.523
DOS at the Fermi energy in states/eV/f.u.: 3.026

Structure (CIF):
```
data_BeCr2Cu
_space_group_name_H-M_alt 'C 1 m 1'
_space_group_IT_number 8
_cell_length_a 8.104
_cell_length_b 2.380
_cell_length_c 4.586
_cell_angle_alpha 90.00
_cell_angle_beta 94.51
_cell_angle_gamma 90.00
loop_
_space_group_symop_operation_xyz
'x,y,z'
'x,-y,z'
'x+1/2,y+1/2,z'
'x+1/2,-y+1/2,z'
loop_
_atom_site_label
_atom_site_type_symbol
_atom_site_fract_x
_atom_site_fract_y
_atom_site_fract_z
Be1 Be 0.000 0.000 0.000
Cr1 Cr 0.254 0.000 0.742
Cr2 Cr 0.491 0.000 0.518
Cu1 Cu 0.243 0.500 0.226
```



# 5
Entry from Alexandria via LeMat-Bulk: a geometry-optimized RhBr3 structure (PBE-GGA).

Computed properties:
Raw formation energy in eV per atom: 0.1489
DOS at the Fermi energy in states/eV/f.u.: 4.616

Structure (CIF):
```
data_RhBr3
_space_group_name_H-M_alt 'C m m m'
_space_group_IT_number 65
_space_group_name_Hall '-C 2 2'
_cell_length_a 3.540
_cell_length_b 6.870
_cell_length_c 9.999
_cell_angle_alpha 90.00
_cell_angle_beta 90.00
_cell_angle_gamma 90.00
loop_
_atom_site_label
_atom_site_type_symbol
_atom_site_fract_x
_atom_site_fract_y
_atom_site_fract_z
Rh1 Rh 0.000 0.000 0.000
Br1 Br 0.000 0.000 0.500
Br2 Br 0.000 0.500 0.170
```



# 6
Entry from Alexandria via LeMat-Bulk: a geometry-optimized PaNbAlCr structure (PBE-GGA).

Computed properties:
Formation enthalpy at 0 K in kcal/mol of atoms: -0.026
DOS at the Fermi energy in states/eV/f.u.: 3.993

Structure (CIF):
```
data_PaNbAlCr
_space_group_name_H-M_alt 'F -4 3 m'
_space_group_IT_number 216
_space_group_name_Hall 'F -4 2 3'
_cell_length_a 6.510
_cell_length_b 6.510
_cell_length_c 6.510
_cell_angle_alpha 90.00
_cell_angle_beta 90.00
_cell_angle_gamma 90.00
loop_
_atom_site_label
_atom_site_type_symbol
_atom_site_fract_x
_atom_site_fract_y
_atom_site_fract_z
Pa1 Pa 0.000 0.000 0.000
Nb1 Nb 0.250 0.250 0.750
Al1 Al 0.000 0.000 0.500
Cr1 Cr 0.250 0.250 0.250
```



no.,ρ (Mg/m³),total magnetic moment (μB per atom)
1,7.9,0.000
2,4.3,0.109
3,1.8,0.288
4,6.6,0.000
5,4.7,0.477
6,9.7,0.002